No. 1
First-principles (PBEsol) data for a geometry-optimized Cd5In structure, as listed in the Alexandria database.

Cell lengths 4.3904, 13.3010, 4.4207 Å; angles 90.00, 90.00, 90.00 degrees
Last column: nearest neighbours and their distance in Å.
Space group Cmmm (No. 65)
Unique sites:
1 Cd 0.0000 0.0000 0.0000 x2  4 In 3.12, 8 Cd 3.14-3.16
2 Cd 0.0000 0.1700 0.5000 x4  10 Cd 3.06-3.16, 2 In 3.15
3 Cd 0.0000 0.3309 0.0000 x4  10 Cd 3.07-3.14, 2 In 3.15
4 In 0.0000 0.5000 0.5000 x2  12 Cd 3.12-3.15

For the total magnetization, the calculation gives 0.00 μB per formula unit. Its uncorrected energy is -17.73 eV for the cell shown. The density of states at the Fermi level comes out at 0.355 states/eV/atom. The calculated volume is 21.51 Å³/atom.

***

No. 2
First-principles (PBEsol) data for a geometry-optimized Li2Ni3SbO8 structure, as listed in the Alexandria database.

Cell lengths 5.7771, 5.7771, 29.2458 Å; angles 90.00, 90.00, 120.00 degrees
Last column: nearest neighbours and their distance in Å.
Space group R-3c (No. 167, hexagonal axes)
Unique sites:
1 Li 0.0000 0.0000 0.0640 x12  4 O 1.93-2.10
2 Ni 0.0000 0.5000 0.0000 x18  6 O 1.90-2.04
3 Sb 0.0000 0.0000 0.2500 x6  6 O 2.00
4 O 0.0000 0.0000 0.1356 x12  3 Ni 1.90, 1 Li 2.10
5 O 0.0248 0.5001 0.3731 x36  1 Li 1.93, 2 Ni 1.93-2.04, 1 Sb 2.00

For the total magnetization, the calculation gives 3.01 μB per formula unit. Its uncorrected energy is -520.04 eV for the cell shown. The density of states at the Fermi level comes out at 0.467 states/eV/atom. The calculated volume is 10.06 Å³/atom.

***

No. 3
First-principles (PBEsol) data for a geometry-optimized BeAl2Se structure, as listed in the Alexandria database.

Cell lengths 3.7169, 3.7169, 9.4796 Å; angles 90.00, 90.00, 90.00 degrees
Last column: nearest neighbours and their distance in Å.
Space group I4/mmm (No. 139)
Unique sites:
1 Be 0.0000 0.0000 0.0000 x2  4 Se 2.63
2 Al 0.0000 0.5000 0.2500 x4  4 Al 2.63
3 Se 0.0000 0.0000 0.5000 x2  4 Be 2.63

For the total magnetization, the calculation gives 0.00 μB per formula unit. Its uncorrected energy is -29.72 eV for the cell shown. The density of states at the Fermi level comes out at 0.351 states/eV/atom. The calculated volume is 16.37 Å³/atom.